*P*
## SrCuAu3 (GGA-PBE)

Data for a relaxed structure of SrCuAu3.

```
SrCuAu3
1.0
-2.788 4.706 4.412
2.788 -4.706 4.412
2.788 4.706 -4.412
Sr Cu Au
2 2 6
Direct
0.291 0.041 0.250
0.709 0.959 0.750
0.000 0.500 0.500
0.500 0.500 0.000
0.116 0.366 0.750
0.247 0.000 0.747
0.247 0.500 0.247
0.753 0.000 0.253
0.753 0.500 0.753
0.884 0.634 0.250
```

**Density of states at the Fermi level**: 4.21 states/eV/cell
**Space-group type**: Imma, No. 74
**Density**: 10.64 Mg/m³

*Q*
## SrCuAu3 (GGA-PBE)

Data for a relaxed structure of SrCuAu3.

```
SrCuAu3
1.0
5.770 0.000 0.000
0.000 5.770 0.000
0.000 0.000 5.770
Sr Cu Au
1 1 3
Direct
0.000 0.000 0.000
0.500 0.500 0.500
0.000 0.000 0.500
0.000 0.500 0.000
0.500 0.000 0.000
```

**Density of states at the Fermi level**: 0.97 states/eV/cell
**Space-group type**: Pm-3m, No. 221
**Density**: 6.41 Mg/m³

*R*
## SrCuAu3 (GGA-PBE)

Data for a relaxed structure of SrCuAu3.

```
SrCuAu3
1.0
4.930 0.000 0.000
0.000 4.930 0.000
0.000 0.000 4.930
Sr Cu Au
1 1 3
Direct
0.000 0.000 0.000
0.500 0.500 0.500
0.000 0.500 0.500
0.500 0.000 0.500
0.500 0.500 0.000
```

**Density of states at the Fermi level**: 1.51 states/eV/cell
**Space-group type**: Pm-3m, No. 221
**Density**: 10.28 Mg/m³

So which one wins? Going from most stable to least: *P*, *R*, *Q*.